one | First-principles (PBE) data for an optimized crystal structure of BeTlCoW, as listed in OQMD via LeMat-Bulk.

abc: 4.377 4.377 4.377
angles: 60.00 60.00 60.00
Positions (direct):
Be: 0.000 0.000 0.000
Tl: 0.500 0.500 0.500
Co: 0.750 0.750 0.750
W: 0.250 0.250 0.250

Output
M_tot: 2.3 μB per formula unit
Crystal system: cubic



two | First-principles (PBE) data for an optimized crystal structure of BeTlCoW, as listed in OQMD via LeMat-Bulk.

abc: 4.311 4.311 4.311
angles: 60.00 60.00 60.00
Positions (direct):
Be: 0.000 0.000 0.000
Tl: 0.250 0.250 0.250
Co: 0.500 0.500 0.500
W: 0.750 0.750 0.750

Output
M_tot: 2.0 μB per formula unit
Crystal system: cubic



What are the relative energies? In eV/atom: one 0.237; two 0.000.



one | First-principles (PBE) data for an optimized crystal structure of BeZnCo, as listed in OQMD via LeMat-Bulk.

abc: 3.787 3.787 3.787
angles: 60.00 60.00 60.00
Positions (direct):
Be: 0.000 0.000 0.000
Zn: 0.500 0.500 0.500
Co: 0.250 0.250 0.250

Output
M_tot: 0.0 μB per formula unit
Crystal system: cubic



two | First-principles (PBE) data for an optimized crystal structure of BeZnCo, as listed in OQMD via LeMat-Bulk.

abc: 3.776 3.776 3.776
angles: 60.00 60.00 60.00
Positions (direct):
Be: 0.000 0.000 0.000
Zn: 0.250 0.250 0.250
Co: 0.500 0.500 0.500

Output
M_tot: 0.0 μB per formula unit
Crystal system: cubic



What are the relative energies? In eV/atom: one 0.000; two 0.105.



one | First-principles (PBE) data for an optimized crystal structure of ZrBeZnCo, as listed in OQMD via LeMat-Bulk.

abc: 4.260 4.260 4.260
angles: 60.00 60.00 60.00
Positions (direct):
Zr: 0.000 0.000 0.000
Be: 0.250 0.250 0.250
Zn: 0.500 0.500 0.500
Co: 0.750 0.750 0.750

Output
M_tot: 0.8 μB per formula unit
Crystal system: cubic



two | First-principles (PBE) data for an optimized crystal structure of ZrBeZnCo, as listed in OQMD via LeMat-Bulk.

abc: 4.256 4.256 4.256
angles: 60.00 60.00 60.00
Positions (direct):
Zr: 0.000 0.000 0.000
Be: 0.750 0.750 0.750
Zn: 0.250 0.250 0.250
Co: 0.500 0.500 0.500

Output
M_tot: 0.0 μB per formula unit
Crystal system: cubic



What are the relative energies? In eV/atom: one 0.000; two 0.056.